A plane-wave DFT calculation with PBE was carried out for a relaxed CdFe2Pt3 crystal.

It has space group P4/mmm (No. 123), with a = 2.828 Å, b = 2.828 Å, c = 11.396 Å, α = 90.00°, β = 90.00° and γ = 90.00°. The asymmetric unit holds Cd at (0.000, 0.000, 0.000), Fe at (0.000, 0.000, 0.341), Pt at (0.500, 0.500, 0.188) and Pt at (0.500, 0.500, 0.500).

The value obtained for the calculated formation energy is -0.2557 eV/atom.



A plane-wave DFT calculation with PBE was carried out for a relaxed Cd4FePt crystal.

It has space group F-43m (No. 216), with a = 7.768 Å, b = 7.768 Å, c = 7.768 Å, α = 90.00°, β = 90.00° and γ = 90.00°. The asymmetric unit holds Cd at (0.125, 0.125, 0.125), Fe at (0.250, 0.250, 0.750) and Pt at (0.000, 0.000, 0.500).

The value obtained for the calculated formation energy is 0.4208 eV/atom.



A plane-wave DFT calculation with PBE was carried out for a relaxed Cd2FePt2 crystal.

It has space group P4/mbm (No. 127), with a = 6.543 Å, b = 6.543 Å, c = 4.262 Å, α = 90.00°, β = 90.00° and γ = 90.00°. The asymmetric unit holds Cd at (0.166, 0.334, 0.000), Fe at (0.000, 0.000, 0.500) and Pt at (0.142, 0.642, 0.500).

The value obtained for the calculated formation energy is -0.0990 eV/atom.



A plane-wave DFT calculation with PBE was carried out for a relaxed CdFePtRh crystal.

It has space group F-43m (No. 216), with a = 6.298 Å, b = 6.298 Å, c = 6.298 Å, α = 90.00°, β = 90.00° and γ = 90.00°. The asymmetric unit holds Cd at (0.000, 0.000, 0.000), Fe at (0.000, 0.000, 0.500), Pt at (0.250, 0.250, 0.250) and Rh at (0.250, 0.250, 0.750).

The value obtained for the calculated formation energy is -0.0771 eV/atom.



A plane-wave DFT calculation with PBE was carried out for a relaxed Sr2CdFePt crystal.

It has space group P4/mmm (No. 123), with a = 5.770 Å, b = 5.770 Å, c = 5.222 Å, α = 90.00°, β = 90.00° and γ = 90.00°. The asymmetric unit holds Sr at (0.000, 0.500, 0.000), Cd at (0.000, 0.000, 0.500), Fe at (0.500, 0.500, 0.500) and Pt at (0.000, 0.000, 0.000).

The value obtained for the calculated formation energy is 0.2269 eV/atom.



A plane-wave DFT calculation with PBE was carried out for a relaxed TaCdFePt2 crystal.

It has space group P4/mmm (No. 123), with a = 4.875 Å, b = 4.875 Å, c = 5.247 Å, α = 90.00°, β = 90.00° and γ = 90.00°. The asymmetric unit holds Ta at (0.000, 0.000, 0.000), Cd at (0.000, 0.000, 0.500), Fe at (0.500, 0.500, 0.500) and Pt at (0.000, 0.500, 0.000).

The value obtained for the calculated formation energy is 1.3076 eV/atom.